PBE SrNbN2O, relaxed; space-group type = P1, No. 1; E_tot = -159.7 eV per cell; V = 276 Å³ per cell
1.0
5.752 0.000 0.000
2.855 5.052 0.000
2.792 1.673 9.500
Sr Nb N O
4 4 8 4
Direct
0.000 0.000 0.000
0.237 0.246 0.262
0.492 0.491 0.513
0.741 0.753 0.759
0.127 0.110 0.630
0.365 0.375 0.886
0.613 0.624 0.140
0.871 0.870 0.381
0.012 0.482 0.018
0.255 0.720 0.755
0.261 0.703 0.276
0.491 0.988 0.513
0.503 0.504 0.005
0.510 0.988 0.036
0.755 0.198 0.246
0.986 0.011 0.507
0.276 0.181 0.782
0.762 0.203 0.776
0.776 0.647 0.298
0.999 0.500 0.549

***

PBE SrNbN2O, relaxed; space-group type = I4/mmm, No. 139; E_tot = -159.4 eV per cell; V = 277 Å³ per cell
1.0
-4.107 4.107 4.103
4.107 -4.107 4.103
4.107 4.107 -4.103
Sr Nb N O
4 4 8 4
Direct
0.232 0.232 0.000
0.250 0.750 0.500
0.750 0.250 0.500
0.768 0.768 0.000
0.255 0.255 0.511
0.255 0.745 0.000
0.745 0.255 0.000
0.745 0.745 0.489
0.000 0.000 0.500
0.000 0.500 0.000
0.245 0.500 0.745
0.500 0.000 0.000
0.500 0.245 0.745
0.500 0.500 0.500
0.500 0.755 0.255
0.755 0.500 0.255
0.000 0.242 0.242
0.000 0.758 0.758
0.242 0.000 0.242
0.758 0.000 0.758

***

PBE TbNbNO, relaxed; ΔE to the lowest computed polymorph = 0.66 eV per formula unit; space-group type = Pmc2_1, No. 26; E_tot = -68.6 eV per cell; V = 121 Å³ per cell
1.0
3.466 0.000 0.000
0.000 6.009 0.000
0.000 0.000 5.830
Tb Nb N O
2 2 2 2
Direct
0.000 0.168 0.000
0.000 0.832 0.500
0.500 0.391 0.432
0.500 0.609 0.932
0.000 0.208 0.396
0.000 0.792 0.896
0.500 0.274 0.786
0.500 0.726 0.286

***

PBE TbNbN2O, relaxed; space-group type = P4/mmm, No. 123; E_tot = -43.6 eV per cell; V = 65 Å³ per cell
1.0
4.072 0.000 0.000
0.000 4.072 0.000
0.000 0.000 3.933
Tb Nb N O
1 1 2 1
Direct
0.000 0.000 0.000
0.500 0.500 0.500
0.000 0.500 0.500
0.500 0.000 0.500
0.500 0.500 0.000

***

The lowest E_tot belongs to which entry? number 1

***

What is the V in the second record? 277 Å³ per cell

***

What is the V in the second record? 277 Å³ per cell